# AlTlSi3O8

A crystal of AlTlSi3O8 relaxed with PBEsol (meta-GGA SCAN, the Alexandria database).

a = 7.292 Å, b = 7.716 Å, c = 8.031 Å
α = 111.98°, β = 104.93°, γ = 103.65°
Fractional positions:
1 Al 0.216 0.322 0.200
2 Al 0.784 0.678 0.800
3 Tl 0.146 0.798 0.272
4 Tl 0.854 0.202 0.728
5 Si 0.234 0.694 0.825
6 Si 0.337 0.099 0.839
7 Si 0.351 0.329 0.596
8 Si 0.649 0.671 0.404
9 Si 0.663 0.901 0.161
10 Si 0.766 0.306 0.175
11 O 0.020 0.648 0.853
12 O 0.214 0.171 0.974
13 O 0.240 0.486 0.678
14 O 0.256 0.218 0.361
15 O 0.272 0.855 0.738
16 O 0.281 0.148 0.656
17 O 0.404 0.562 0.307
18 O 0.415 0.792 0.042
19 O 0.585 0.208 0.958
20 O 0.596 0.438 0.693
21 O 0.719 0.852 0.344
22 O 0.728 0.145 0.262
23 O 0.744 0.782 0.639
24 O 0.760 0.514 0.322
25 O 0.786 0.829 0.026
26 O 0.980 0.352 0.147

Summary:
ΔE_f (raw) in eV/atom: -2.89
Density in g/cm3: 3.9
E_tot in eV/atom: -15.1993

***

# SrGeNF2

A crystal of SrGeNF2 relaxed with PBEsol (meta-GGA SCAN, the Alexandria database).

a = 4.287 Å, b = 4.287 Å, c = 3.902 Å
α = 90.00°, β = 90.00°, γ = 90.00°
Fractional positions:
1 Sr 0.000 0.000 0.000
2 Ge 0.500 0.500 0.500
3 N 0.500 0.500 0.000
4 F 0.000 0.500 0.500
5 F 0.500 0.000 0.500

Summary:
ΔE_f (raw) in eV/atom: -1.72
Density in g/cm3: 4.9
E_tot in eV/atom: -13.2651